No. 1
Entry from the Alexandria database: a geometry-optimized CoPd2NCl structure (GGA-PBE).

Cell lengths 4.914, 3.333, 4.914 Å; angles 90.00, 90.00, 90.00 degrees
Site moments in Bohr magnetons follow the coordinates.
Positions (direct):
Pd 0.500 0.000 0.000  0.07
Pd 0.000 0.000 0.500  0.09
N 0.000 0.500 0.000  -0.02
Cl 0.500 0.500 0.500  0.01
Co 0.000 0.000 0.000  0.29

Calculated values
Total magnetic moment in μB per formula unit: 0.44
Total energy in eV per atom: -4.92

No. 2
Entry from the Alexandria database: a geometry-optimized Pm8Co3NCl3 structure (GGA-PBE).

Cell lengths 7.796, 7.813, 8.583 Å; angles 117.08, 90.00, 119.93 degrees
Positions (direct):
Pm 0.735 0.470 0.705
Pm 0.776 0.030 0.307
Pm 0.253 0.030 0.307
Pm 0.225 0.450 0.694
Pm 0.265 0.530 0.295
Pm 0.747 0.970 0.693
Pm 0.775 0.550 0.306
Pm 0.224 0.970 0.693
Cl 0.000 0.000 0.000
Cl 0.500 0.500 0.000
Cl 0.000 0.500 0.000
Co 0.500 0.000 0.500
Co 0.500 0.500 0.500
Co 0.000 0.500 0.500
N 0.000 0.000 0.500

Calculated values
Total magnetic moment in μB per formula unit: 0.00
Total energy in eV per atom: -5.66

No. 3
Entry from the Alexandria database: a geometry-optimized Pr4CoNCl2 structure (GGA-PBE).

Cell lengths 3.747, 6.953, 7.751 Å; angles 107.94, 90.00, 90.00 degrees
Positions (direct):
Pr 0.500 0.208 0.192
Pr 0.000 0.737 0.197
Pr 0.500 0.792 0.808
Pr 0.000 0.263 0.803
Cl 0.000 0.500 0.500
Cl 0.500 0.000 0.500
Co 0.500 0.500 0.000
N 0.000 0.000 0.000

Calculated values
Total magnetic moment in μB per formula unit: 0.00
Total energy in eV per atom: -5.89

No. 4
Entry from the Alexandria database: a geometry-optimized CoSN2Cl structure (GGA-PBE).

Cell lengths 3.540, 3.540, 5.703 Å; angles 90.00, 90.00, 90.00 degrees
Site moments in Bohr magnetons follow the coordinates.
Positions (direct):
S 0.000 0.000 0.500  0.13
Cl 0.500 0.500 0.500  0.01
N 0.500 0.000 0.000  0.12
N 0.000 0.500 0.000  0.12
Co 0.000 0.000 0.000  0.44

Calculated values
Distance to the lowest polymorph of the same formula in kcal/mol of atoms: 0.000
Total magnetic moment in μB per formula unit: 1.01

Please write out number 3 again, unchanged.
Entry from the Alexandria database: a geometry-optimized Pr4CoNCl2 structure (GGA-PBE).

Cell lengths 3.747, 6.953, 7.751 Å; angles 107.94, 90.00, 90.00 degrees
Positions (direct):
Pr 0.500 0.208 0.192
Pr 0.000 0.737 0.197
Pr 0.500 0.792 0.808
Pr 0.000 0.263 0.803
Cl 0.000 0.500 0.500
Cl 0.500 0.000 0.500
Co 0.500 0.500 0.000
N 0.000 0.000 0.000

Calculated values
Total magnetic moment in μB per formula unit: 0.00
Total energy in eV per atom: -5.89